[1]
## PmErMg2 (PBE)

Data for a relaxed structure of PmErMg2.

## Properties
formation energy from the elements: 0.038 eV per atom
ΔE to the lowest computed polymorph: 130.9 meV/atom

Cell lengths 3.4753, 3.4753, 32.9564 Å; angles 90.00, 90.00, 120.00 degrees
Space group R-3m (No. 166, hexagonal axes)
One atom of each set of equivalent atoms:
Pm1 0.0000 0.0000 0.0000
Er1 0.0000 0.0000 0.5000
Mg1 0.0000 0.0000 0.2480



[2]
## LaCdTc3 (PBE)

Data for a relaxed structure of LaCdTc3.

## Properties
formation energy from the elements: 1.975 eV per atom
ΔE to the lowest computed polymorph: 203.9 meV/atom

Cell lengths 4.819, 4.819, 4.819 Å; angles 90.00, 90.00, 90.00 degrees
Space group Pm-3m (No. 221)
One atom of each set of equivalent atoms:
La1 0.000 0.000 0.000
Cd1 0.500 0.500 0.500
Tc1 0.000 0.000 0.500



[3]
## Sr3Dy3CdSe8 (PBE)

Data for a relaxed structure of Sr3Dy3CdSe8.

## Properties
formation energy without anion corrections: -1.73 eV per atom

Cell lengths 8.3561, 8.3561, 21.2842 Å; angles 90.00, 90.00, 120.00 degrees
Space group R-3m (No. 166, hexagonal axes)
One atom of each set of equivalent atoms:
Sr1 0.0000 0.5000 0.0000
Dy1 0.0000 0.5000 0.5000
Cd1 0.0000 0.0000 0.5000
Se1 0.0000 0.0000 0.2433
Se2 0.0039 0.5020 0.7579



[4]
## ReHg2Rh (PBE)

Data for a relaxed structure of ReHg2Rh.

## Properties
formation energy from the elements: 0.780 eV per atom
ΔE to the lowest computed polymorph: 507.0 meV/atom

Cell lengths 4.161, 4.161, 8.059 Å; angles 90.00, 90.00, 90.00 degrees
Space group I-4m2 (No. 119)
One atom of each set of equivalent atoms:
Re1 0.000 0.000 0.000
Hg1 0.000 0.000 0.500
Hg2 0.000 0.500 0.250
Rh1 0.000 0.500 0.750



[5]
## ErGa3Ni (PBE)

Data for a relaxed structure of ErGa3Ni.

## Properties
formation energy from the elements: -0.509 eV per atom

Cell lengths 4.052, 4.052, 5.350 Å; angles 90.00, 90.00, 90.00 degrees
Space group P4mm (No. 99)
One atom of each set of equivalent atoms:
Er1 0.000 0.000 0.000
Ga1 0.000 0.500 0.470
Ga2 0.500 0.500 0.792
Ni1 0.500 0.500 0.225



[6]
## Li9Mg4Tl11 (PBE)

Data for a relaxed structure of Li9Mg4Tl11.

## Properties
formation energy from the elements: -0.157 eV per atom

Cell lengths 15.192, 21.412, 3.326 Å; angles 90.00, 90.00, 90.00 degrees
Space group Cmmm (No. 65)
One atom of each set of equivalent atoms:
Li1 0.000 0.000 0.000
Li2 0.108 0.410 0.000
Li3 0.111 0.228 0.000
Mg1 0.159 0.085 0.000
Tl1 0.000 0.133 0.500
Tl2 0.000 0.317 0.500
Tl3 0.000 0.500 0.500
Tl4 0.220 0.500 0.500
Tl5 0.224 0.323 0.500



[7]
## ReSi2HgC (PBE)

Data for a relaxed structure of ReSi2HgC.

## Properties
formation energy without anion corrections: 1.42 eV per atom

Cell lengths 3.954, 3.954, 4.609 Å; angles 90.00, 90.00, 90.00 degrees
Space group P4/mmm (No. 123)
One atom of each set of equivalent atoms:
Re1 0.000 0.000 0.000
Si1 0.000 0.500 0.500
Hg1 0.500 0.500 0.000
C1 0.500 0.500 0.500



[8]
## Tb2Sm3Dy (PBE)

Data for a relaxed structure of Tb2Sm3Dy.

## Properties
formation energy from the elements: 0.015 eV per atom
ΔE to the lowest computed polymorph: 22.7 meV/atom

Cell lengths 10.140, 7.185, 11.908 Å; angles 90.00, 115.16, 90.00 degrees
Space group C2/c (No. 15)
One atom of each set of equivalent atoms:
Tb1 0.167 0.125 0.084
Sm1 0.000 0.125 0.750
Sm2 0.167 0.375 0.583
Dy1 0.000 0.375 0.250



[9]
## NaLiOsBr6 (PBE)

Data for a relaxed structure of NaLiOsBr6.

## Properties
formation energy without anion corrections: -0.72 eV per atom

Cell lengths 6.7939, 6.7939, 12.8506 Å; angles 90.00, 90.00, 120.00 degrees
Space group P-31c (No. 163)
One atom of each set of equivalent atoms:
Na1 0.0000 0.0000 0.0000
Li1 0.3333 0.6667 0.2500
Os1 0.3333 0.6667 0.7500
Br1 0.0231 0.3739 0.6376



[10]
## MnTl4As (PBE)

Data for a relaxed structure of MnTl4As.

## Properties
formation energy from the elements: 0.620 eV per atom

Cell lengths 8.882, 8.882, 8.882 Å; angles 90.00, 90.00, 90.00 degrees
Space group F-43m (No. 216)
One atom of each set of equivalent atoms:
Mn1 0.000 0.000 0.000
Tl1 0.125 0.125 0.625
As1 0.250 0.250 0.250



[11]
## LiNdBr6 (PBE)

Data for a relaxed structure of LiNdBr6.

## Properties
formation energy without anion corrections: -1.05 eV per atom

Cell lengths 11.089, 11.089, 11.089 Å; angles 90.00, 90.00, 90.00 degrees
Space group Fm-3m (No. 225)
One atom of each set of equivalent atoms:
Li1 0.000 0.000 0.000
Nd1 0.000 0.000 0.500
Br1 0.000 0.000 0.240



[12]
## LiPmErTc (PBE)

Data for a relaxed structure of LiPmErTc.

## Properties
formation energy from the elements: 0.003 eV per atom

Cell lengths 7.025, 7.025, 7.025 Å; angles 90.00, 90.00, 90.00 degrees
Space group F-43m (No. 216)
One atom of each set of equivalent atoms:
Li1 0.000 0.000 0.000
Pm1 0.250 0.250 0.750
Er1 0.250 0.250 0.250
Tc1 0.000 0.000 0.500



[13]
## PaHgSe (PBE)

Data for a relaxed structure of PaHgSe.

## Properties
formation energy without anion corrections: -0.48 eV per atom
ΔE to the lowest computed polymorph: 0.0 meV/atom

Cell lengths 3.557, 3.557, 12.023 Å; angles 90.00, 90.00, 90.00 degrees
Space group I4mm (No. 107)
One atom of each set of equivalent atoms:
Pa1 0.000 0.000 0.000
Hg1 0.000 0.000 0.317
Se1 0.000 0.000 0.617



[14]
## Er2MgPd3 (PBE)

Data for a relaxed structure of Er2MgPd3.

## Properties
formation energy from the elements: -0.854 eV per atom
ΔE to the lowest computed polymorph: 7.5 meV/atom

Cell lengths 3.385, 3.385, 10.188 Å; angles 90.00, 90.00, 90.00 degrees
Space group P4/mmm (No. 123)
One atom of each set of equivalent atoms:
Er1 0.000 0.000 0.177
Mg1 0.000 0.000 0.500
Pd1 0.500 0.500 0.000
Pd2 0.500 0.500 0.349



[15]
## NdHoZnNi (PBE)

Data for a relaxed structure of NdHoZnNi.

## Properties
formation energy from the elements: -0.289 eV per atom

Cell lengths 7.056, 7.056, 7.056 Å; angles 90.00, 90.00, 90.00 degrees
Space group F-43m (No. 216)
One atom of each set of equivalent atoms:
Nd1 0.000 0.000 0.000
Ho1 0.000 0.000 0.500
Zn1 0.250 0.250 0.250
Ni1 0.250 0.250 0.750



[16]
## NdSmYN3 (PBE)

Data for a relaxed structure of NdSmYN3.

## Properties
formation energy without anion corrections: -1.34 eV per atom

Cell lengths 6.122, 3.552, 9.210 Å; angles 90.00, 101.65, 90.00 degrees
Space group P2_1/m (No. 11)
One atom of each set of equivalent atoms:
Nd1 0.152 0.250 0.196
Sm1 0.269 0.750 0.546
Y1 0.351 0.250 0.862
N1 0.039 0.250 0.673
N2 0.254 0.750 0.992
N3 0.464 0.750 0.343



[17]
## YIn2Mo (PBE)

Data for a relaxed structure of YIn2Mo.

## Properties
formation energy from the elements: 0.223 eV per atom
ΔE to the lowest computed polymorph: 217.2 meV/atom

Cell lengths 3.2155, 3.2155, 30.2140 Å; angles 90.00, 90.00, 120.00 degrees
Space group R-3m (No. 166, hexagonal axes)
One atom of each set of equivalent atoms:
Y1 0.0000 0.0000 0.0000
In1 0.0000 0.0000 0.2415
Mo1 0.0000 0.0000 0.5000



[18]
## Re2RhSe (PBE)

Data for a relaxed structure of Re2RhSe.

## Properties
formation energy without anion corrections: 0.70 eV per atom

Cell lengths 3.738, 3.738, 4.444 Å; angles 90.00, 90.00, 90.00 degrees
Space group P4/mmm (No. 123)
One atom of each set of equivalent atoms:
Re1 0.000 0.500 0.000
Rh1 0.000 0.000 0.500
Se1 0.500 0.500 0.500



[19]
## RuRh2F2 (PBE)

Data for a relaxed structure of RuRh2F2.

## Properties
formation energy without anion corrections: -0.18 eV per atom
ΔE to the lowest computed polymorph: 0.0 meV/atom

Cell lengths 3.307, 3.307, 11.638 Å; angles 90.00, 90.00, 90.00 degrees
Space group I4/mmm (No. 139)
One atom of each set of equivalent atoms:
Ru1 0.000 0.000 0.000
Rh1 0.000 0.000 0.389
F1 0.000 0.500 0.250



[20]
## LaSbOs2 (PBE)

Data for a relaxed structure of LaSbOs2.

## Properties
formation energy without anion corrections: 0.30 eV per atom

Cell lengths 4.548, 5.037, 7.589 Å; angles 90.00, 90.00, 90.00 degrees
Space group Cmm2 (No. 35)
One atom of each set of equivalent atoms:
La1 0.000 0.000 0.000
Sb1 0.000 0.500 0.339
Os1 0.000 0.000 0.579
Os2 0.000 0.500 0.720



[21]
## FeRe2Ru (PBE)

Data for a relaxed structure of FeRe2Ru.

## Properties
formation energy from the elements: 0.092 eV per atom
ΔE to the lowest computed polymorph: 105.5 meV/atom

Cell lengths 8.877, 2.711, 4.692 Å; angles 90.00, 99.62, 90.00 degrees
Space group Cm (No. 8)
One atom of each set of equivalent atoms:
Fe1 0.000 0.000 0.000
Re1 0.254 0.000 0.768
Re2 0.499 0.000 0.493
Ru1 0.252 0.500 0.252



[22]
## CaGe2PdPt (PBE)

Data for a relaxed structure of CaGe2PdPt.

## Properties
formation energy from the elements: -0.743 eV per atom
ΔE to the lowest computed polymorph: 0.0 meV/atom

Cell lengths 4.355, 4.355, 10.177 Å; angles 90.00, 90.00, 90.00 degrees
Space group I-4m2 (No. 119)
One atom of each set of equivalent atoms:
Ca1 0.000 0.000 0.000
Ge1 0.000 0.000 0.375
Pd1 0.000 0.500 0.250
Pt1 0.000 0.500 0.750



[23]
## TiCrAgS4 (PBE)

Data for a relaxed structure of TiCrAgS4.

## Properties
formation energy without anion corrections: -0.63 eV per atom
ΔE to the lowest computed polymorph: 186.0 meV/atom

Cell lengths 6.465, 7.605, 12.937 Å; angles 99.27, 93.57, 90.73 degrees
Space group P-1 (No. 2)
One atom of each set of equivalent atoms:
Ti1 0.137 0.207 0.286
Ti2 0.236 0.400 0.001
Cr1 0.376 0.543 0.709
Cr2 0.385 0.047 0.721
Ag1 0.096 0.674 0.307
Ag2 0.255 0.859 0.000
S1 0.079 0.637 0.105
S2 0.128 0.176 0.109
S3 0.206 0.786 0.659
S4 0.261 0.266 0.644
S5 0.299 0.971 0.343
S6 0.321 0.450 0.373
S7 0.375 0.109 0.891
S8 0.426 0.561 0.889



[24]
## TbNdDy5Ho2 (PBE)

Data for a relaxed structure of TbNdDy5Ho2.

## Properties
formation energy from the elements: 0.159 eV per atom

Cell lengths 5.607, 19.828, 10.548 Å; angles 90.00, 90.00, 90.00 degrees
Space group Cmc2_1 (No. 36)
One atom of each set of equivalent atoms:
Tb1 0.000 0.200 0.000
Nd1 0.000 0.416 0.440
Dy1 0.000 0.018 0.013
Dy2 0.000 0.281 0.300
Dy3 0.000 0.298 0.697
Dy4 0.000 0.388 0.011
Dy5 0.000 0.478 0.725
Ho1 0.000 0.111 0.723
Ho2 0.000 0.114 0.307